[1]
# Sc2P3Pb2 | the Alexandria database | PBE | relaxed
data_Sc2P3Pb2
_chemical_formula_sum 'Sc4 P6 Pb4'
_cell_length_a 7.556
_cell_length_b 9.953
_cell_length_c 4.261
_cell_angle_alpha 90.00
_cell_angle_beta 90.00
_cell_angle_gamma 90.00
_space_group_name_H-M_alt 'P b a m'
_space_group_IT_number 55
loop_
_space_group_symop_operation_xyz
'x,y,z'
'-x,-y,-z'
'-x,-y,z'
'x,y,-z'
'x+1/2,-y+1/2,-z'
'-x+1/2,y+1/2,z'
'-x+1/2,y+1/2,-z'
'x+1/2,-y+1/2,z'
loop_
_atom_site_label
_atom_site_type_symbol
_atom_site_fract_x
_atom_site_fract_y
_atom_site_fract_z
_atom_site_occupancy
Sc1 Sc 0.150 0.100 0.000 1
P1 P 0.000 0.000 0.500 1
P2 P 0.238 0.846 0.000 1
Pb1 Pb 0.015 0.334 0.500 1
# crystal system: orthorhombic
# DFT formation energy: -302 kJ/mol of formula units
# raw total energy: -5.63 eV per atom

[2]
# CePuCuGe | the Alexandria database | PBE | relaxed
data_CePuCuGe
_chemical_formula_sum 'Ce1 Pu1 Cu1 Ge1'
_cell_length_a 4.7649
_cell_length_b 4.7649
_cell_length_c 4.9333
_cell_angle_alpha 90.00
_cell_angle_beta 90.00
_cell_angle_gamma 120.00
_space_group_name_H-M_alt 'P 3 m 1'
_space_group_IT_number 156
loop_
_space_group_symop_operation_xyz
'x,y,z'
'-y,x-y,z'
'-x+y,-x,z'
'-y,-x,z'
'-x+y,y,z'
'x,x-y,z'
loop_
_atom_site_label
_atom_site_type_symbol
_atom_site_fract_x
_atom_site_fract_y
_atom_site_fract_z
_atom_site_occupancy
Ce1 Ce 0.0000 0.0000 0.0000 1
Pu1 Pu 0.3333 0.6667 0.5164 1
Cu1 Cu 0.6667 0.3333 0.7564 1
Ge1 Ge 0.6667 0.3333 0.2606 1
# crystal system: trigonal
# DFT formation energy: -51 kJ/mol of formula units
# raw total energy: -7.38 eV per atom

[3]
# Si4Rh3 | the Alexandria database | PBE | relaxed
data_Si4Rh3
_chemical_formula_sum 'Si4 Rh3'
_cell_length_a 5.2803
_cell_length_b 5.2803
_cell_length_c 4.2358
_cell_angle_alpha 90.00
_cell_angle_beta 90.00
_cell_angle_gamma 120.00
_space_group_name_H-M_alt 'P 6/m m m'
_space_group_IT_number 191
_space_group_name_Hall '-P 6 2'
loop_
_atom_site_label
_atom_site_type_symbol
_atom_site_fract_x
_atom_site_fract_y
_atom_site_fract_z
_atom_site_occupancy
Si1 Si 0.0000 0.0000 0.2454 1
Si2 Si 0.3333 0.6667 0.5000 1
Rh1 Rh 0.0000 0.5000 0.0000 1
# crystal system: hexagonal
# ΔE_f (raw): -0.51 eV/f.u.
# raw total energy: -6.32 eV per atom

[4]
# SrScPd3 | the Alexandria database | PBE | relaxed
data_SrScPd3
_chemical_formula_sum 'Sr1 Sc1 Pd3'
_cell_length_a 4.944
_cell_length_b 4.944
_cell_length_c 4.944
_cell_angle_alpha 90.00
_cell_angle_beta 90.00
_cell_angle_gamma 90.00
_space_group_name_H-M_alt 'P m -3 m'
_space_group_IT_number 221
_space_group_name_Hall '-P 4 2 3'
loop_
_atom_site_label
_atom_site_type_symbol
_atom_site_fract_x
_atom_site_fract_y
_atom_site_fract_z
_atom_site_occupancy
Sr1 Sr 0.000 0.000 0.000 1
Sc1 Sc 0.500 0.500 0.500 1
Pd1 Pd 0.000 0.500 0.500 1
# crystal system: cubic
# offset from the most stable computed form: 0 meV/atom
# DFT formation energy: -138 kJ/mol of formula units
# raw total energy: -5.00 eV per atom